1.
Compound: Mg2ScP
Source: Alexandria
Functional: GGA-PBE
Structure: optimized geometry

Unit cell a=3.3071 b=3.3071 c=7.4546 alpha=90.00 beta=90.00 gamma=90.10
With the nearest neighbours (Å) after each atom.
Positions (direct):
Mg: 0.0000 0.0000 0.1986  4 P 2.77, 1 Mg 2.96
Mg: 0.0000 0.0000 0.8014  4 P 2.77, 1 Mg 2.96
Sc: 0.5000 0.5000 0.5000  8 Mg 3.24, 4 Sc 3.31
P: 0.5000 0.5000 0.0000  8 Mg 2.77

Properties
E: -3.879 eV/atom
volume: 81.5 Å³/cell
formation energy: -0.59 eV/f.u.

2.
Compound: MgSc3P
Source: Alexandria
Functional: GGA-PBE
Structure: optimized geometry

Unit cell a=5.0749 b=5.0749 c=5.0749 alpha=90.00 beta=90.00 gamma=90.00
With the nearest neighbours (Å) after each atom.
Positions (direct):
Mg: 0.0000 0.0000 0.0000  6 Sc 2.54
Sc: 0.0000 0.0000 0.5000  2 Mg 2.54
Sc: 0.0000 0.5000 0.0000  2 Mg 2.54
Sc: 0.5000 0.0000 0.0000  2 Mg 2.54
P: 0.5000 0.5000 0.5000  12 Sc 3.59

Properties
E: -4.456 eV/atom
volume: 130.7 Å³/cell
formation energy: 3.72 eV/f.u.
offset from the most stable computed form: 1231 meV per atom

3.
Compound: Mg2ScP
Source: Alexandria
Functional: GGA-PBE
Structure: optimized geometry

Unit cell a=5.1174 b=5.1174 c=5.5886 alpha=115.01 beta=115.01 gamma=40.65
With the nearest neighbours (Å) after each atom.
Positions (direct):
Mg: 0.0000 0.0000 0.0000  2 P 2.72, 1 Mg 2.93
Mg: 0.2025 0.2025 0.7353  2 P 2.62, 1 Mg 2.93
Sc: 0.3910 0.3910 0.3894  3 P 2.64-2.84
P: 0.6841 0.6841 0.3784  4 Mg 2.62-2.72, 3 Sc 2.64-2.84

Properties
E: -4.139 eV/atom
volume: 85.1 Å³/cell
formation energy: -1.63 eV/f.u.

4.
Compound: Mg4ScP
Source: Alexandria
Functional: GGA-PBE
Structure: optimized geometry

Unit cell a=5.7179 b=5.7179 c=5.7179 alpha=60.00 beta=60.00 gamma=60.00
With the nearest neighbours (Å) after each atom.
Positions (direct):
Mg: 0.1253 0.1253 0.1253  6 Mg 2.85-2.86
Mg: 0.1253 0.1253 0.6242  6 Mg 2.85-2.86
Mg: 0.1253 0.6242 0.1253  6 Mg 2.85-2.86
Mg: 0.6242 0.1253 0.1253  6 Mg 2.85-2.86
Sc: 0.5000 0.5000 0.5000  12 Mg 3.35, 4 P 3.50
P: 0.7500 0.7500 0.7500  12 Mg 3.35, 4 Sc 3.50

Properties
E: -2.789 eV/atom
volume: 132.2 Å³/cell
formation energy: 1.39 eV/f.u.

5.
Compound: Mg2ScP
Source: Alexandria
Functional: GGA-PBE
Structure: optimized geometry

Unit cell a=4.8168 b=4.8168 c=4.8168 alpha=60.00 beta=60.00 gamma=60.00
With the nearest neighbours (Å) after each atom.
Positions (direct):
Mg: 0.0000 0.0000 0.0000  4 Mg 2.95, 4 Sc 2.95
Mg: 0.2500 0.2500 0.2500  4 Mg 2.95, 4 P 2.95
Sc: 0.7500 0.7500 0.7500  4 Mg 2.95, 4 P 2.95
P: 0.5000 0.5000 0.5000  4 Mg 2.95, 4 Sc 2.95

Properties
E: -3.815 eV/atom
volume: 79.0 Å³/cell
formation energy: -0.33 eV/f.u.

6.
Compound: Mg2ScP
Source: Alexandria
Functional: GGA-PBE
Structure: optimized geometry

Unit cell a=6.3820 b=6.3820 c=6.3820 alpha=99.73 beta=99.73 gamma=131.46
With the nearest neighbours (Å) after each atom.
Positions (direct):
Mg: 0.0506 0.6250 0.9256  2 P 2.60, 2 Mg 2.89
Mg: 0.3750 0.3006 0.4256  2 P 2.60, 2 Mg 2.89
Mg: 0.6994 0.1250 0.0744  2 P 2.60, 2 Mg 2.89
Mg: 0.8750 0.9494 0.5744  2 P 2.60, 2 Mg 2.89
Sc: 0.2500 0.7500 0.5000  2 P 2.62
Sc: 0.5000 0.5000 0.0000  2 P 2.62
P: 0.0000 0.0000 0.0000  4 Mg 2.60, 2 Sc 2.62
P: 0.7500 0.2500 0.5000  4 Mg 2.60, 2 Sc 2.62

Properties
E: -4.067 eV/atom
volume: 177.6 Å³/cell
formation energy: -1.34 eV/f.u.

7.
Compound: Mg3ScP
Source: Alexandria
Functional: GGA-PBE
Structure: optimized geometry

Unit cell a=5.4965 b=5.4965 c=5.4965 alpha=90.00 beta=90.00 gamma=90.00
With the nearest neighbours (Å) after each atom.
Positions (direct):
Mg: 0.0000 0.0000 0.5000  2 Sc 2.75
Mg: 0.0000 0.5000 0.0000  2 Sc 2.75
Mg: 0.5000 0.0000 0.0000  2 Sc 2.75
Sc: 0.0000 0.0000 0.0000  6 Mg 2.75
P: 0.5000 0.5000 0.5000  12 Mg 3.89

Properties
E: -2.029 eV/atom
volume: 166.1 Å³/cell
formation energy: 6.38 eV/f.u.
offset from the most stable computed form: 1184 meV per atom

8.
Compound: Mg2ScP
Source: Alexandria
Functional: GGA-PBE
Structure: optimized geometry

Unit cell a=4.0151 b=4.0151 c=4.6762 alpha=90.00 beta=90.00 gamma=90.00
With the nearest neighbours (Å) after each atom.
Positions (direct):
Mg: 0.0000 0.5000 0.0000  4 Mg 2.84, 4 P 3.08, 4 Sc 3.08
Mg: 0.5000 0.0000 0.0000  4 Mg 2.84, 4 P 3.08, 4 Sc 3.08
Sc: 0.0000 0.0000 0.5000  4 P 2.84, 8 Mg 3.08
P: 0.5000 0.5000 0.5000  4 Sc 2.84, 8 Mg 3.08

Properties
E: -4.107 eV/atom
volume: 75.4 Å³/cell
formation energy: -1.50 eV/f.u.